No. 1
A plane-wave DFT calculation with PBE was carried out for PrNd2Y6Mg after structural relaxation.

The structure in CIF format:
```
data_PrNd2Y6Mg
_symmetry_space_group_name_H-M 'C 1 2/c 1'
_symmetry_Int_Tables_number 15
_cell_length_a 9.255
_cell_length_b 14.684
_cell_length_c 9.753
_cell_angle_alpha 90.00
_cell_angle_beta 99.51
_cell_angle_gamma 90.00
loop_
_symmetry_equiv_pos_as_xyz
'x,y,z'
'-x,-y,-z'
'-x,y,-z+1/2'
'x,-y,z+1/2'
'x+1/2,y+1/2,z'
'-x+1/2,-y+1/2,-z'
'-x+1/2,y+1/2,-z+1/2'
'x+1/2,-y+1/2,z+1/2'
loop_
_atom_site_label
_atom_site_fract_x
_atom_site_fract_y
_atom_site_fract_z
Pr1 0.000 0.016 0.250
Nd1 0.248 0.047 0.556
Y1 0.071 0.187 0.945
Y2 0.092 0.398 0.110
Y3 0.212 0.220 0.312
Mg1 0.000 0.401 0.750
```

Calculated values
For the formation enthalpy at 0 K, the calculation gives 108 meV/atom. As for the crystal system: monoclinic.

No. 2
A plane-wave DFT calculation with PBE was carried out for Ac5TlIn2 after structural relaxation.

The structure in CIF format:
```
data_Ac5TlIn2
_symmetry_space_group_name_H-M 'I 4/m c m'
_symmetry_Int_Tables_number 140
_symmetry_space_group_name_Hall '-I 4 2c'
_cell_length_a 8.671
_cell_length_b 8.671
_cell_length_c 16.292
_cell_angle_alpha 90.00
_cell_angle_beta 90.00
_cell_angle_gamma 90.00
loop_
_atom_site_label
_atom_site_fract_x
_atom_site_fract_y
_atom_site_fract_z
Ac1 0.000 0.000 0.000
Ac2 0.170 0.330 0.150
Tl1 0.000 0.000 0.250
In1 0.122 0.378 0.500
```

Calculated values
For the formation enthalpy at 0 K, the calculation gives -316 meV/atom. As for the crystal system: tetragonal.

No. 3
A plane-wave DFT calculation with PBE was carried out for ReTcAu2 after structural relaxation.

The structure in CIF format:
```
data_ReTcAu2
_symmetry_space_group_name_H-M 'I 4/m m m'
_symmetry_Int_Tables_number 139
_symmetry_space_group_name_Hall '-I 4 2'
_cell_length_a 3.866
_cell_length_b 3.866
_cell_length_c 8.606
_cell_angle_alpha 90.00
_cell_angle_beta 90.00
_cell_angle_gamma 90.00
loop_
_atom_site_label
_atom_site_fract_x
_atom_site_fract_y
_atom_site_fract_z
Re1 0.000 0.000 0.000
Tc1 0.000 0.000 0.500
Au1 0.000 0.500 0.250
```

Calculated values
For the formation enthalpy at 0 K, the calculation gives 535 meV/atom. As for the crystal system: tetragonal. For the distance to the lowest polymorph of the same formula, the calculation gives 1.601 eV/f.u.

No. 4
A plane-wave DFT calculation with PBE was carried out for MnHRuAu after structural relaxation.

The structure in CIF format:
```
data_MnHRuAu
_symmetry_space_group_name_H-M 'I 4 m m'
_symmetry_Int_Tables_number 107
_symmetry_space_group_name_Hall 'I 4 -2'
_cell_length_a 2.847
_cell_length_b 2.847
_cell_length_c 11.933
_cell_angle_alpha 90.00
_cell_angle_beta 90.00
_cell_angle_gamma 90.00
loop_
_atom_site_label
_atom_site_fract_x
_atom_site_fract_y
_atom_site_fract_z
Mn1 0.000 0.000 0.000
H1 0.000 0.000 0.160
Ru1 0.000 0.000 0.645
Au1 0.000 0.000 0.339
```

Calculated values
As for the crystal system: tetragonal. For the distance to the lowest polymorph of the same formula, the calculation gives 0.000 eV/f.u.

No. 5
A plane-wave DFT calculation with PBE was carried out for HgOs3 after structural relaxation.

The structure in CIF format:
```
data_HgOs3
_symmetry_space_group_name_H-M 'P m -3 m'
_symmetry_Int_Tables_number 221
_symmetry_space_group_name_Hall '-P 4 2 3'
_cell_length_a 3.980
_cell_length_b 3.980
_cell_length_c 3.980
_cell_angle_alpha 90.00
_cell_angle_beta 90.00
_cell_angle_gamma 90.00
loop_
_atom_site_label
_atom_site_fract_x
_atom_site_fract_y
_atom_site_fract_z
Hg1 0.000 0.000 0.000
Os1 0.000 0.500 0.500
```

Calculated values
For the formation enthalpy at 0 K, the calculation gives 1065 meV/atom. As for the crystal system: cubic. For the distance to the lowest polymorph of the same formula, the calculation gives 2.690 eV/f.u.

No. 6
A plane-wave DFT calculation with PBE was carried out for CaZnSbH after structural relaxation.

The structure in CIF format:
```
data_CaZnSbH
_symmetry_space_group_name_H-M 'R -3 m'
_symmetry_Int_Tables_number 166
_symmetry_space_group_name_Hall '-R 3 2"'
_cell_length_a 4.3864
_cell_length_b 4.3864
_cell_length_c 30.6569
_cell_angle_alpha 90.00
_cell_angle_beta 90.00
_cell_angle_gamma 120.00
loop_
_atom_site_label
_atom_site_fract_x
_atom_site_fract_y
_atom_site_fract_z
Ca1 0.0000 0.0000 0.0000
Ca2 0.0000 0.0000 0.5000
Zn1 0.0000 0.0000 0.2402
Sb1 0.0000 0.0000 0.3976
H1 0.0000 0.0000 0.1841
```

Calculated values
As for the crystal system: trigonal. For the distance to the lowest polymorph of the same formula, the calculation gives 0.024 eV/f.u.

How do the records compare in spin magnetization? In the order shown, they have 0.000 0.000 0.000 0.829 0.463 0.000 μB/atom.